SiIr2Cl | PBEsol | optimized geometry

Values from the calculation:
Fermi-level density of states   1.297 states/eV/atom
Uncorrected formation energy   0.719 eV per atom
Total DFT energy (no corrections)   -98.1 eV/cell
Size of the total moment   0.0 μB/f.u.

Structure (CIF):
```
data_SiIr2Cl
_cell_length_a 6.1801
_cell_length_b 6.1801
_cell_length_c 6.1801
_cell_angle_alpha 90.00
_cell_angle_beta 90.00
_cell_angle_gamma 90.00
_symmetry_space_group_name_H-M 'F -4 3 m'
_symmetry_Int_Tables_number 216
_symmetry_space_group_name_Hall 'F -4 2 3'
loop_
_atom_site_label
_atom_site_fract_x
_atom_site_fract_y
_atom_site_fract_z
_atom_site_occupancy
Si1 0.0000 0.0000 0.0000 1
Ir1 0.0000 0.0000 0.5000 1
Ir2 0.2500 0.2500 0.2500 1
Cl1 0.2500 0.2500 0.7500 1
```

***

LiIn2P | PBEsol | optimized geometry

Values from the calculation:
Fermi-level density of states   0.334 states/eV/atom
Total DFT energy (no corrections)   -14.0 eV/cell
E_form   -0.0710 eV/atom
Size of the total moment   0.0 μB/f.u.

Structure (CIF):
```
data_LiIn2P
_cell_length_a 4.2237
_cell_length_b 4.2237
_cell_length_c 4.4698
_cell_angle_alpha 90.00
_cell_angle_beta 90.00
_cell_angle_gamma 90.00
_symmetry_space_group_name_H-M 'P 4/m m m'
_symmetry_Int_Tables_number 123
_symmetry_space_group_name_Hall '-P 4 2'
loop_
_atom_site_label
_atom_site_fract_x
_atom_site_fract_y
_atom_site_fract_z
_atom_site_occupancy
Li1 0.0000 0.0000 0.0000 1
In1 0.0000 0.5000 0.5000 1
P1 0.5000 0.5000 0.0000 1
```

***

Sr5Tl | PBEsol | optimized geometry

Values from the calculation:
Fermi-level density of states   1.102 states/eV/atom
Total DFT energy (no corrections)   -12.1 eV/cell
E_form   -0.0416 eV/atom
Size of the total moment   0.0 μB/f.u.

Structure (CIF):
```
data_Sr5Tl
_cell_length_a 6.9523
_cell_length_b 6.9523
_cell_length_c 6.2717
_cell_angle_alpha 90.00
_cell_angle_beta 90.00
_cell_angle_gamma 120.00
_symmetry_space_group_name_H-M 'P -6 2 m'
_symmetry_Int_Tables_number 189
_symmetry_space_group_name_Hall 'P -6 -2'
loop_
_atom_site_label
_atom_site_fract_x
_atom_site_fract_y
_atom_site_fract_z
_atom_site_occupancy
Sr1 0.0000 0.6908 0.0000 1
Sr2 0.3333 0.6667 0.5000 1
Tl1 0.0000 0.0000 0.5000 1
```

***

CuMo6Se8 | PBEsol | optimized geometry

Values from the calculation:
Fermi-level density of states   0.655 states/eV/atom
Uncorrected formation energy   -0.479 eV per atom
Total DFT energy (no corrections)   -338.8 eV/cell
Size of the total moment   0.0 μB/f.u.

Structure (CIF):
```
data_CuMo6Se8
_cell_length_a 9.5932
_cell_length_b 9.5932
_cell_length_c 10.8794
_cell_angle_alpha 90.00
_cell_angle_beta 90.00
_cell_angle_gamma 120.00
_symmetry_space_group_name_H-M 'R -3'
_symmetry_Int_Tables_number 148
_symmetry_space_group_name_Hall '-R 3'
loop_
_atom_site_label
_atom_site_fract_x
_atom_site_fract_y
_atom_site_fract_z
_atom_site_occupancy
Cu1 0.0000 0.0000 0.0000 1
Mo1 0.0208 0.8488 0.3945 1
Se1 0.0000 0.0000 0.2110 1
Se2 0.0054 0.6232 0.2531 1
```